1.
Here is an optimized crystal structure of Pr3Y6Er from Alexandria via LeMat-Bulk. Energies are from PBE.

POSCAR file:
```
Pr3Y6Er
1.0
-7.839 -1.932 5.857
0.598 -7.140 6.938
-1.121 -0.391 6.864
Pr Y Er
3 6 1
Cartesian
-3.598 -3.544 11.001
-4.570 -5.525 9.046
-1.506 -1.175 6.090
-7.114 -6.179 10.981
-1.795 -7.206 9.377
-4.798 -3.180 6.790
-1.283 -3.525 8.342
-6.803 -2.460 10.008
-3.685 -6.638 12.691
-6.658 -7.886 13.966
```

Calculated values
- E above lowest polymorph (meV/atom) = 89.3
- E_form (meV per atom) = 257.3

---

2.
Here is an optimized crystal structure of Nd2HoIr from Alexandria via LeMat-Bulk. Energies are from PBE.

POSCAR file:
```
Nd2HoIr
1.0
-0.990 -0.027 -3.678
-3.139 -1.847 -1.113
-7.129 8.261 -0.113
Ir Nd Ho
1 2 1
Cartesian
-5.629 3.194 -2.452
-5.206 5.290 -0.609
-6.053 1.097 -4.295
0.000 0.000 0.000
```

Calculated values
- E above lowest polymorph (meV/atom) = 464.8
- E_form (meV per atom) = -20.9

---

3.
Here is an optimized crystal structure of Tb2Pm2Sm2Ho from Alexandria via LeMat-Bulk. Energies are from PBE.

POSCAR file:
```
Tb2Pm2Sm2Ho
1.0
5.725 0.000 0.000
2.863 4.958 0.000
2.863 1.653 8.208
Tb Pm Sm Ho
2 2 2 1
Cartesian
5.725 3.306 2.326
5.725 3.306 5.882
2.863 1.653 4.777
8.588 4.958 3.431
8.588 4.958 7.001
2.863 1.653 1.207
0.000 0.000 0.000
```

Calculated values
- E_form (meV per atom) = 138.1

---

4.
Here is an optimized crystal structure of TaCoAs2Cl from Alexandria via LeMat-Bulk. Energies are from PBE.

POSCAR file:
```
TaCoAs2Cl
1.0
4.896 0.000 0.000
0.000 4.405 0.000
0.000 0.000 4.896
As Cl Co Ta
2 1 1 1
Cartesian
0.000 0.000 2.448
2.448 0.000 0.000
0.000 0.000 0.000
2.448 2.202 2.448
0.000 2.202 0.000
```

Calculated values
- energy relative to the elements, uncorrected (eV/atom) = 1.5349

---

5.
Here is an optimized crystal structure of LiAcAs2Pd2 from Alexandria via LeMat-Bulk. Energies are from PBE.

POSCAR file:
```
LiAcAs2Pd2
1.0
4.387 0.000 0.000
-2.193 3.799 0.000
0.000 0.000 7.126
Li Ac As Pd
1 1 2 2
Cartesian
0.000 0.000 3.563
0.000 0.000 0.000
0.000 2.533 2.029
2.193 1.266 5.096
0.000 2.533 4.717
2.193 1.266 2.409
```

Calculated values
- E_form (meV per atom) = -896.7

---

6.
Here is an optimized crystal structure of AcThSbTe from Alexandria via LeMat-Bulk. Energies are from PBE.

POSCAR file:
```
AcThSbTe
1.0
4.749 0.000 0.000
0.000 4.749 0.000
0.000 0.000 12.006
Ac Th Sb Te
2 2 2 2
Cartesian
0.000 2.374 9.582
2.374 0.000 2.424
0.000 0.000 6.003
2.374 2.374 6.003
2.374 0.000 8.359
0.000 2.374 3.647
2.374 2.374 0.000
0.000 0.000 0.000
```

Calculated values
- E above lowest polymorph (meV/atom) = 162.1
- energy relative to the elements, uncorrected (eV/atom) = -0.8680

---

7.
Here is an optimized crystal structure of Ca2Pr5Nd5 from Alexandria via LeMat-Bulk. Energies are from PBE.

POSCAR file:
```
Ca2Pr5Nd5
1.0
-0.413 -2.545 4.603
7.551 -2.491 2.324
3.841 7.404 7.462
Ca Pr Nd
2 5 5
Cartesian
5.640 2.186 10.786
5.339 0.182 3.603
7.920 -0.502 9.504
8.503 3.050 8.496
2.476 -0.682 5.892
3.059 2.870 4.885
0.000 0.000 0.000
5.489 1.184 7.194
2.354 -1.641 2.328
7.768 -1.501 5.914
3.211 3.869 8.474
8.625 4.009 12.061
```

Calculated values
- E_form (meV per atom) = 42.0

---

8.
Here is an optimized crystal structure of Ac4AsBr5 from Alexandria via LeMat-Bulk. Energies are from PBE.

POSCAR file:
```
Ac4AsBr5
1.0
4.290 0.000 -0.934
-0.480 8.866 -2.204
-0.047 -0.004 10.103
Ac As Br
4 1 5
Cartesian
2.756 0.784 2.340
4.133 2.016 8.660
1.007 8.078 4.625
-0.369 6.845 -1.695
2.145 0.000 -0.467
0.535 3.020 2.456
0.316 7.445 1.449
3.448 1.417 5.515
1.905 4.433 -1.569
3.228 5.841 4.508
```

Calculated values
- energy relative to the elements, uncorrected (eV/atom) = -1.6210

---

9.
Here is an optimized crystal structure of Pr4OsCCl2 from Alexandria via LeMat-Bulk. Energies are from PBE.

POSCAR file:
```
Pr4OsCCl2
1.0
3.986 0.000 0.000
0.000 7.021 0.225
0.000 -2.384 7.325
Pr Os C Cl
4 1 1 2
Cartesian
1.993 1.132 1.429
1.993 3.505 6.120
0.000 -0.228 5.902
0.000 4.866 1.648
1.993 3.511 0.112
0.000 0.000 0.000
1.993 -1.192 3.662
0.000 2.319 3.775
```

Calculated values
- energy relative to the elements, uncorrected (eV/atom) = -0.8245

---

10.
Here is an optimized crystal structure of RbLaCd2Sn from Alexandria via LeMat-Bulk. Energies are from PBE.

POSCAR file:
```
RbLaCd2Sn
1.0
-3.060 -3.539 3.230
0.638 -4.572 -4.405
4.757 -1.790 2.547
Cd Sn Rb La
2 1 1 1
Cartesian
2.379 -0.895 1.273
-1.530 -1.770 1.615
1.168 -4.950 0.685
0.000 0.000 0.000
0.319 -2.286 -2.203
```

Calculated values
- E_form (meV per atom) = 969.6

---

11.
Here is an optimized crystal structure of Pa3S3O from Alexandria via LeMat-Bulk. Energies are from PBE.

POSCAR file:
```
Pa3S3O
1.0
-4.610 1.381 -2.309
-1.584 -3.656 3.552
0.996 4.220 3.112
Pa S O
3 3 1
Cartesian
-2.150 0.650 -0.975
0.372 1.927 1.464
-0.789 -1.616 1.662
-3.357 -0.654 1.172
-2.284 2.622 0.989
-1.026 0.527 3.427
-0.119 0.045 0.100
```

Calculated values
- energy relative to the elements, uncorrected (eV/atom) = -1.6383

---

12.
Here is an optimized crystal structure of KMgNbO4 from Alexandria via LeMat-Bulk. Energies are from PBE.

POSCAR file:
```
KMgNbO4
1.0
5.695 0.000 -0.330
0.000 5.804 0.000
-2.537 0.000 7.582
K Mg Nb O
2 2 2 8
Cartesian
-0.056 4.353 6.382
3.215 1.451 0.870
3.485 4.353 3.273
-0.327 1.451 3.979
0.606 4.353 2.564
2.552 1.451 4.688
3.845 2.843 4.665
-0.686 5.745 2.587
-0.686 2.961 2.587
3.845 0.059 4.665
2.166 4.353 1.475
0.993 1.451 5.777
1.448 4.353 4.203
1.711 1.451 3.048
```

Calculated values
- energy relative to the elements, uncorrected (eV/atom) = -2.3543

---

13.
Here is an optimized crystal structure of Th2Si3Rh5 from Alexandria via LeMat-Bulk. Energies are from PBE.

POSCAR file:
```
Th2Si3Rh5
1.0
4.022 0.000 -0.685
0.000 6.715 0.000
0.120 0.000 12.850
Th Si Rh
4 6 10
Cartesian
2.071 5.137 12.157
0.762 4.958 4.473
3.380 1.600 7.692
2.071 1.779 0.008
3.194 4.762 6.604
2.489 3.328 2.465
0.261 6.586 1.530
0.947 1.404 5.561
3.881 3.228 10.635
1.652 6.686 9.701
1.696 2.634 9.956
1.199 3.386 7.039
2.943 0.029 5.126
0.538 1.708 3.159
1.258 6.152 7.387
3.877 0.734 10.611
2.883 2.794 4.778
3.604 5.066 9.006
0.265 4.092 1.554
2.446 5.991 2.209
```

Calculated values
- energy relative to the elements, uncorrected (eV/atom) = -0.8899

---

14.
Here is an optimized crystal structure of YSc2ZnO from Alexandria via LeMat-Bulk. Energies are from PBE.

POSCAR file:
```
YSc2ZnO
1.0
-3.858 1.076 1.869
0.493 -3.288 2.912
2.226 2.916 2.916
Y Sc Zn O
1 2 1 1
Cartesian
1.113 1.458 1.458
0.247 -1.644 1.456
-1.929 0.538 0.934
-0.570 0.352 3.848
0.000 0.000 0.000
```

Calculated values
- energy relative to the elements, uncorrected (eV/atom) = -1.3400

---

15.
Here is an optimized crystal structure of PrNdAs2Pd2 from Alexandria via LeMat-Bulk. Energies are from PBE.

POSCAR file:
```
PrNdAs2Pd2
1.0
-3.638 -1.782 -1.700
3.647 0.290 -2.432
2.276 -7.095 2.568
Pr Nd As Pd
1 1 2 2
Cartesian
0.000 0.000 0.000
1.138 -3.547 1.284
1.791 -2.183 -1.543
0.495 -6.404 -0.022
2.919 -5.701 -0.270
-0.634 -2.886 -1.295
```

Calculated values
- E_form (meV per atom) = -1179.2

---

16.
Here is an optimized crystal structure of MgTi4S8 from Alexandria via LeMat-Bulk. Energies are from PBE.

POSCAR file:
```
MgTi4S8
1.0
-3.379 -0.940 6.256
-7.018 -1.475 0.099
-2.265 -6.533 1.906
Mg Ti S
1 4 8
Cartesian
-9.496 -6.711 6.196
-6.444 -3.785 6.359
-8.379 -4.069 3.085
-5.852 -6.758 4.046
-4.648 -3.285 3.032
-3.268 -1.612 4.086
-5.023 -1.870 1.117
-2.731 -4.308 1.989
-1.639 -1.159 1.070
-6.234 -5.065 2.221
-4.576 -4.821 5.026
-6.741 -2.517 4.203
-7.773 -5.494 5.071
```

Calculated values
- E above lowest polymorph (meV/atom) = 34.2
- energy relative to the elements, uncorrected (eV/atom) = -1.3311

---

17.
Here is an optimized crystal structure of TbSm3Sn3 from Alexandria via LeMat-Bulk. Energies are from PBE.

POSCAR file:
```
TbSm3Sn3
1.0
-1.521 -5.636 -2.078
7.880 -0.155 -5.347
0.227 -3.347 8.914
Tb Sm Sn
2 6 6
Cartesian
4.949 -2.628 -1.113
1.638 -6.510 2.602
4.495 -6.594 0.737
1.427 -4.348 -3.111
6.644 -5.397 -4.081
2.091 -2.545 0.752
5.160 -4.791 4.600
-0.057 -3.741 5.570
4.909 -3.688 1.792
2.373 -1.469 -2.372
7.565 -2.727 -2.759
1.678 -5.450 -0.303
4.214 -7.669 3.860
-0.978 -6.411 4.248
```

Calculated values
- E_form (meV per atom) = -433.8

---

18.
Here is an optimized crystal structure of NaIrIO2 from Alexandria via LeMat-Bulk. Energies are from PBE.

POSCAR file:
```
NaIrIO2
1.0
4.088 0.000 0.000
0.000 4.088 0.000
0.000 0.000 5.926
I Na Ir O
1 1 1 2
Cartesian
0.000 0.000 2.963
0.000 0.000 0.000
2.044 2.044 2.963
0.000 2.044 0.000
2.044 0.000 0.000
```

Calculated values
- E above lowest polymorph (meV/atom) = 1526.7
- energy relative to the elements, uncorrected (eV/atom) = 1.0212

---

19.
Here is an optimized crystal structure of Ca2LaMgOs from Alexandria via LeMat-Bulk. Energies are from PBE.

POSCAR file:
```
Ca2LaMgOs
1.0
5.682 0.000 0.000
0.000 5.682 0.000
0.000 0.000 5.271
Ca Os Mg La
2 1 1 1
Cartesian
0.000 2.841 0.000
2.841 0.000 0.000
0.000 0.000 0.000
2.841 2.841 2.636
0.000 0.000 2.636
```

Calculated values
- E_form (meV per atom) = 109.5

---

20.
Here is an optimized crystal structure of UPd3Pt12 from Alexandria via LeMat-Bulk. Energies are from PBE.

POSCAR file:
```
UPd3Pt12
1.0
4.032 0.000 0.000
0.000 4.032 0.000
0.000 0.000 15.868
U Pd Pt
1 3 12
Cartesian
0.000 0.000 0.000
0.000 0.000 4.082
0.000 0.000 7.934
0.000 0.000 11.786
2.016 2.016 0.000
2.016 2.016 4.058
2.016 2.016 7.934
2.016 2.016 11.811
2.016 0.000 2.037
2.016 0.000 6.012
2.016 0.000 9.856
2.016 0.000 13.831
0.000 2.016 2.037
0.000 2.016 6.012
0.000 2.016 9.856
0.000 2.016 13.831
```

Calculated values
- E_form (meV per atom) = -225.4

---

Number 1: raw total energy -55.11 eV for the cell shown. Number 2: raw total energy -23.06 eV for the cell shown. Number 3: raw total energy -31.81 eV for the cell shown. Number 4: raw total energy -22.43 eV for the cell shown. Number 5: raw total energy -31.09 eV for the cell shown. Number 6: raw total energy -44.53 eV for the cell shown. Number 7: raw total energy -51.24 eV for the cell shown. Number 8: raw total energy -45.66 eV for the cell shown. Number 9: raw total energy -49.86 eV for the cell shown. Number 10: raw total energy -6.88 eV for the cell shown. Number 11: raw total energy -57.30 eV for the cell shown. Number 12: raw total energy -98.15 eV for the cell shown. Number 13: raw total energy -153.53 eV for the cell shown. Number 14: raw total energy -32.06 eV for the cell shown. Number 15: raw total energy -36.31 eV for the cell shown. Number 16: raw total energy -83.50 eV for the cell shown. Number 17: raw total energy -67.67 eV for the cell shown. Number 18: raw total energy -16.54 eV for the cell shown. Number 19: raw total energy -21.21 eV for the cell shown. Number 20: raw total energy -102.96 eV for the cell shown.